# SmAg2Br6 PBE relaxed
data_SmAg2Br6
_symmetry_space_group_name_H-M 'P 1'
_symmetry_Int_Tables_number 1
_cell_length_a 4.123
_cell_length_b 9.613
_cell_length_c 9.316
_cell_angle_alpha 80.70
_cell_angle_beta 90.00
_cell_angle_gamma 102.38
loop_
_symmetry_equiv_pos_as_xyz
'x,y,z'
loop_
_atom_site_label
_atom_site_fract_x
_atom_site_fract_y
_atom_site_fract_z
Sm1 0.000 0.000 0.500
Br1 0.399 0.798 0.458
Br2 0.948 0.897 0.809
Br3 0.227 0.454 0.821
Br4 0.773 0.546 0.179
Br5 0.052 0.103 0.191
Br6 0.601 0.202 0.542
Ag1 0.191 0.381 0.163
Ag2 0.809 0.619 0.837
# **ΔE_f (raw)**: -0.93 eV per atom
# **ΔE to the lowest computed polymorph**: 0.000 eV per atom
# **Calculated density**: 3.95 g cm⁻³

# Sm2AgBr PBE relaxed
data_Sm2AgBr
_symmetry_space_group_name_H-M 'P 1'
_symmetry_Int_Tables_number 1
_cell_length_a 4.072
_cell_length_b 4.072
_cell_length_c 8.333
_cell_angle_alpha 75.86
_cell_angle_beta 75.86
_cell_angle_gamma 60.00
loop_
_symmetry_equiv_pos_as_xyz
'x,y,z'
loop_
_atom_site_label
_atom_site_fract_x
_atom_site_fract_y
_atom_site_fract_z
Sm1 0.076 0.076 0.771
Sm2 0.257 0.257 0.228
Br1 0.499 0.499 0.503
Ag1 0.667 0.667 0.998
# **ΔE_f (raw)**: -0.57 eV per atom
# **ΔE to the lowest computed polymorph**: 0.040 eV per atom
# **Calculated density**: 7.07 g cm⁻³

# Sm2AgBr PBE relaxed
data_Sm2AgBr
_symmetry_space_group_name_H-M 'P 1'
_symmetry_Int_Tables_number 1
_cell_length_a 3.527
_cell_length_b 3.527
_cell_length_c 8.388
_cell_angle_alpha 90.00
_cell_angle_beta 90.00
_cell_angle_gamma 90.00
loop_
_symmetry_equiv_pos_as_xyz
'x,y,z'
loop_
_atom_site_label
_atom_site_fract_x
_atom_site_fract_y
_atom_site_fract_z
Br1 0.500 0.500 0.500
Sm1 0.000 0.000 0.767
Sm2 0.000 0.000 0.233
Ag1 0.500 0.500 0.000
# **ΔE_f (raw)**: -0.57 eV per atom
# **ΔE to the lowest computed polymorph**: 0.040 eV per atom
# **Calculated density**: 7.77 g cm⁻³

# Sm6AgBr8 PBE relaxed
data_Sm6AgBr8
_symmetry_space_group_name_H-M 'P 1'
_symmetry_Int_Tables_number 1
_cell_length_a 7.176
_cell_length_b 7.176
_cell_length_c 11.748
_cell_angle_alpha 72.22
_cell_angle_beta 72.22
_cell_angle_gamma 60.00
loop_
_symmetry_equiv_pos_as_xyz
'x,y,z'
loop_
_atom_site_label
_atom_site_fract_x
_atom_site_fract_y
_atom_site_fract_z
Br1 0.667 0.667 0.000
Br2 0.557 0.893 0.322
Br3 0.228 0.557 0.322
Br4 0.443 0.107 0.678
Br5 0.772 0.443 0.678
Br6 0.333 0.333 0.000
Br7 0.893 0.228 0.322
Br8 0.107 0.772 0.678
Sm1 0.623 0.272 0.158
Sm2 0.377 0.728 0.842
Sm3 0.948 0.623 0.158
Sm4 0.728 0.052 0.842
Sm5 0.052 0.377 0.842
Sm6 0.272 0.948 0.158
Ag1 0.000 0.000 0.000
# **ΔE_f (raw)**: -1.30 eV per atom
# **Calculated density**: 5.59 g cm⁻³

> Look up the ΔE_f (raw) of the fourth one.

-1.30 eV per atom

Repeat the second record exactly.
# Sm2AgBr PBE relaxed
data_Sm2AgBr
_symmetry_space_group_name_H-M 'P 1'
_symmetry_Int_Tables_number 1
_cell_length_a 4.072
_cell_length_b 4.072
_cell_length_c 8.333
_cell_angle_alpha 75.86
_cell_angle_beta 75.86
_cell_angle_gamma 60.00
loop_
_symmetry_equiv_pos_as_xyz
'x,y,z'
loop_
_atom_site_label
_atom_site_fract_x
_atom_site_fract_y
_atom_site_fract_z
Sm1 0.076 0.076 0.771
Sm2 0.257 0.257 0.228
Br1 0.499 0.499 0.503
Ag1 0.667 0.667 0.998
# **ΔE_f (raw)**: -0.57 eV per atom
# **ΔE to the lowest computed polymorph**: 0.040 eV per atom
# **Calculated density**: 7.07 g cm⁻³